No. 1
EuTlP | PBE | relaxed

Results
crystal system: trigonal

a = 4.2865 Å, b = 4.2865 Å, c = 5.3702 Å
α = 90.00°, β = 90.00°, γ = 120.00°
Last column: nearest neighbours and their distance in Å.
Space group P3m1 (No. 156)
Symmetry-distinct sites (fractional):
Eu (0.0000, 0.0000, 0.0000) (multiplicity 1)  3 P 2.88
Tl (0.6667, 0.3333, 0.4571) (multiplicity 1)  3 P 2.87
P (0.3333, 0.6667, 0.7268) (multiplicity 1)  3 Tl 2.87, 3 Eu 2.88

No. 2
EuTmP | PBE | relaxed

Results
crystal system: trigonal

a = 3.9783 Å, b = 3.9783 Å, c = 6.6753 Å
α = 90.00°, β = 90.00°, γ = 120.00°
Last column: nearest neighbours and their distance in Å.
Space group P3m1 (No. 156)
Symmetry-distinct sites (fractional):
Eu (0.0000, 0.0000, 0.0000) (multiplicity 1)  3 P 2.93
Tm (0.6667, 0.3333, 0.5132) (multiplicity 1)  3 P 2.70
P (0.3333, 0.6667, 0.7267) (multiplicity 1)  3 Tm 2.70, 3 Eu 2.93

No. 3
EuTmP2 | PBE | relaxed

Results
crystal system: trigonal

a = 4.0489 Å, b = 4.0489 Å, c = 19.9582 Å
α = 90.00°, β = 90.00°, γ = 120.00°
Last column: nearest neighbours and their distance in Å.
Space group R-3m (No. 166, hexagonal axes)
Symmetry-distinct sites (fractional):
Eu (0.0000, 0.0000, 0.0000) (multiplicity 3)  6 P 2.93
Tm (0.0000, 0.0000, 0.5000) (multiplicity 3)  6 P 2.81
P (0.0000, 0.0000, 0.2452) (multiplicity 6)  3 Tm 2.81, 3 Eu 2.93

No. 4
EuTm3P | PBE | relaxed

Results
crystal system: cubic

a = 5.3708 Å, b = 5.3708 Å, c = 5.3708 Å
α = 90.00°, β = 90.00°, γ = 90.00°
Last column: nearest neighbours and their distance in Å.
Space group Pm-3m (No. 221)
Symmetry-distinct sites (fractional):
Eu (0.0000, 0.0000, 0.0000) (multiplicity 1)  12 Tm 3.80
Tm (0.0000, 0.5000, 0.5000) (multiplicity 3)  2 P 2.69
P (0.5000, 0.5000, 0.5000) (multiplicity 1)  6 Tm 2.69

no.,DFT formation energy (eV per atom),total energy (eV per atom),volume (Å³ per atom)
1,-0.613,-6.629,28.484
2,-0.870,-7.589,30.498
3,-1.320,-7.711,23.613
4,-0.382,-6.201,30.985